PBE with a Hubbard U Mn3O2F4, relaxed; space-group type = Pmn2_1, No. 31; calculated total energy = -119.04 eV for the cell shown; ΔE to the lowest computed polymorph = 0.011 eV/atom
1.0
-3.942 1.410 2.301
-2.554 -2.954 -2.564
1.395 -7.010 6.687
Mn O F
6 4 8
direct
0.040 0.002 0.992
0.040 0.002 0.341
0.995 0.970 0.667
0.460 0.502 0.841
0.505 0.470 0.167
0.460 0.502 0.492
0.192 0.808 0.497
0.192 0.808 0.837
0.308 0.308 0.997
0.308 0.308 0.337
0.235 0.814 0.167
0.265 0.314 0.667
0.730 0.707 0.005
0.730 0.708 0.328
0.653 0.681 0.667
0.847 0.181 0.167
0.770 0.207 0.505
0.770 0.208 0.828